(1)
Entry from the Alexandria database: Pr4Bi2AsSe after structural relaxation (PBE-GGA).

a b c (Å): 7.712 4.457 7.765
angles (deg): 90.00 109.29 90.00
Sites, in units of the cell vectors:
Pr1 0.240 0.000 0.230
Pr2 0.251 0.500 0.767
Pr3 0.749 0.500 0.233
Pr4 0.760 0.000 0.770
Bi1 0.000 0.000 0.500
Bi2 0.500 0.500 0.500
As1 0.000 0.500 0.000
Se1 0.500 0.000 0.000

Properties
Uncorrected formation energy (eV per formula unit): -10.52


(2)
Entry from the Alexandria database: Pr6Bi2AsSe3 after structural relaxation (PBE-GGA).

a b c (Å): 9.851 9.851 8.822
angles (deg): 102.50 102.50 25.81
Sites, in units of the cell vectors:
Pr1 0.004 0.004 0.264
Pr2 0.339 0.339 0.430
Pr3 0.340 0.340 0.905
Pr4 0.660 0.660 0.095
Pr5 0.661 0.661 0.570
Pr6 0.996 0.996 0.736
Bi1 0.168 0.168 0.836
Bi2 0.832 0.832 0.164
As1 0.500 0.500 0.500
Se1 0.169 0.169 0.336
Se2 0.500 0.500 0.000
Se3 0.831 0.831 0.664

Properties
Uncorrected formation energy (eV per formula unit): -17.84